# 1
An optimized crystal structure of SrAsHRu, computed with GGA-PBE.

Cell lengths 4.1608, 4.1608, 8.4116 Å; angles 90.00, 90.00, 90.00 degrees
Element x y z (fractional)
Sr (0.2500, 0.2500, 0.1576)
Sr (0.7500, 0.7500, 0.8424)
As (0.2500, 0.2500, 0.6545)
As (0.7500, 0.7500, 0.3455)
H (0.2500, 0.7500, 0.0000)
H (0.7500, 0.2500, 0.0000)
Ru (0.2500, 0.7500, 0.5000)
Ru (0.7500, 0.2500, 0.5000)

The magnetization is 0.000 μB per formula unit. As for the total energy: -5.43 eV/atom.



# 2
An optimized crystal structure of ZrMnSe4, computed with GGA-PBE.

Cell lengths 7.4141, 5.6945, 7.5373 Å; angles 90.00, 119.80, 90.00 degrees
Element x y z (fractional)
Zr (0.0000, 0.0000, 0.0000)
Zr (0.0000, 0.5000, 0.5000)
Mn (0.5000, 0.0000, 0.0000)
Mn (0.5000, 0.5000, 0.5000)
Se (0.1936, 0.2333, 0.3602)
Se (0.1936, 0.2667, 0.8602)
Se (0.3357, 0.7227, 0.1422)
Se (0.3357, 0.7773, 0.6422)
Se (0.6643, 0.2227, 0.3578)
Se (0.6643, 0.2773, 0.8578)
Se (0.8064, 0.7333, 0.1398)
Se (0.8064, 0.7667, 0.6398)

Its uncorrected formation energy is -67 kJ/mol of atoms. The magnetization is 3.037 μB per formula unit. As for the total energy: -5.97 eV/atom.



# 3
An optimized crystal structure of AlFe3H, computed with GGA-PBE.

Cell lengths 6.5308, 4.1914, 9.5315 Å; angles 90.00, 129.76, 90.00 degrees
Element x y z (fractional)
Al (0.2009, 0.2410, 0.0327)
Al (0.2009, 0.2590, 0.5327)
Al (0.7991, 0.7410, 0.4673)
Al (0.7991, 0.7590, 0.9673)
Fe (0.0264, 0.7223, 0.8306)
Fe (0.0264, 0.7777, 0.3306)
Fe (0.3043, 0.7494, 0.7189)
Fe (0.3043, 0.7506, 0.2189)
Fe (0.4700, 0.2337, 0.4096)
Fe (0.4700, 0.2663, 0.9096)
Fe (0.5300, 0.7337, 0.0904)
Fe (0.5300, 0.7663, 0.5904)
Fe (0.6957, 0.2494, 0.7811)
Fe (0.6957, 0.2506, 0.2811)
Fe (0.9736, 0.2223, 0.6694)
Fe (0.9736, 0.2777, 0.1694)
H (0.2584, 0.5488, 0.3526)
H (0.2584, 0.9512, 0.8526)
H (0.7416, 0.0488, 0.1474)
H (0.7416, 0.4512, 0.6474)

For the energy above the most stable polymorph in this dataset, the calculation gives 0.24 eV per formula unit. The magnetization is 6.073 μB per formula unit. As for the total energy: -6.62 eV/atom.



# 4
An optimized crystal structure of TlNi3H, computed with GGA-PBE.

Cell lengths 3.8205, 3.8205, 3.8205 Å; angles 90.00, 90.00, 90.00 degrees
Element x y z (fractional)
Tl (0.0000, 0.0000, 0.0000)
Ni (0.0000, 0.5000, 0.5000)
Ni (0.5000, 0.0000, 0.5000)
Ni (0.5000, 0.5000, 0.0000)
H (0.5000, 0.5000, 0.5000)

For the energy above the most stable polymorph in this dataset, the calculation gives 0.00 eV per formula unit. The magnetization is 0.000 μB per formula unit. As for the total energy: -4.56 eV/atom.



# 5
An optimized crystal structure of Pm4Sm3S8, computed with GGA-PBE.

Cell lengths 8.0295, 8.0295, 8.0266 Å; angles 119.99, 119.99, 90.00 degrees
Element x y z (fractional)
Pm (0.0000, 0.0000, 0.0000)
Pm (0.0000, 0.5000, 0.0000)
Pm (0.5000, 0.0000, 0.0000)
Pm (0.5000, 0.5000, 0.5000)
Sm (0.0000, 0.5000, 0.5000)
Sm (0.5000, 0.0000, 0.5000)
Sm (0.5000, 0.5000, 0.0000)
S (0.2492, 0.7508, 0.5000)
S (0.2498, 0.2498, 0.5014)
S (0.2500, 0.2500, 0.9985)
S (0.2507, 0.7493, 0.0000)
S (0.7493, 0.2507, 0.0000)
S (0.7500, 0.7500, 0.0015)
S (0.7502, 0.7502, 0.4986)
S (0.7508, 0.2492, 0.5000)

Its uncorrected formation energy is -198 kJ/mol of atoms. The magnetization is 0.000 μB per formula unit. As for the total energy: -6.46 eV/atom.



# 6
An optimized crystal structure of Hf3TaAl, computed with GGA-PBE.

Cell lengths 4.8974, 4.8974, 4.8974 Å; angles 90.00, 90.00, 90.00 degrees
Element x y z (fractional)
Hf (0.0000, 0.0000, 0.5000)
Hf (0.0000, 0.5000, 0.0000)
Hf (0.5000, 0.0000, 0.0000)
Ta (0.5000, 0.5000, 0.5000)
Al (0.0000, 0.0000, 0.0000)

As for the calculated formation energy: 1.059 eV/atom. The magnetization is 1.050 μB per formula unit. As for the total energy: -8.03 eV/atom.